Entry 1:
This record from the Alexandria database describes CuPd3Au8 after structural relaxation. The functional is PBE.

It has space group I4/mmm (No. 139), with a = 6.3532 Å, b = 6.3532 Å, c = 11.8602 Å, α = 90.00°, β = 90.00° and γ = 90.00°. The asymmetric unit holds Cu at (0.0000, 0.0000, 0.0000), Pd at (0.0000, 0.0000, 0.5000), Pd at (0.0000, 0.5000, 0.2500) and Au at (0.2418, 0.2418, 0.1223).

The calculation puts the energy relative to the elements at 0.179 eV/atom.

Entry 2:
This record from the Alexandria database describes Cu6PdAu4 after structural relaxation. The functional is PBE.

It has space group I-42m (No. 121), with a = 5.0728 Å, b = 5.0728 Å, c = 13.2047 Å, α = 90.00°, β = 90.00° and γ = 90.00°. The asymmetric unit holds Cu at (0.0000, 0.5000, 0.0000), Cu at (0.1908, 0.1908, 0.3779), Pd at (0.0000, 0.0000, 0.0000) and Au at (0.2071, 0.2071, 0.1786).

The calculation puts the energy relative to the elements at 0.089 eV/atom.